[1]
First-principles (PBE) data for Ac4BiRh2 after structural relaxation, as listed in Alexandria.

Cell and atoms, written as POSCAR:
```
Ac4BiRh2
1.0
8.458 -1.247 -0.177
-1.853 8.346 0.177
-3.173 -3.670 7.026
Ac Bi Rh
8 2 4
direct
0.968 0.234 0.375 Ac
0.391 0.516 0.234 Ac
0.859 0.592 0.625 Ac
0.766 0.142 0.734 Ac
0.407 0.031 0.266 Ac
0.282 0.157 0.766 Ac
0.484 0.717 0.875 Ac
0.843 0.610 0.125 Ac
0.250 0.750 0.500 Bi
0.000 0.000 0.000 Bi
0.547 0.375 0.672 Rh
0.703 0.875 0.328 Rh
0.625 0.297 0.172 Rh
0.125 0.453 0.828 Rh
```

Summary:
The value obtained for the formation energy from the elements is -58.2 kJ per mole of atoms. For the excess energy over the best structure of this formula in the dataset, the calculation gives 0.100 eV/atom. Its symmetry is No. 43. Its crystal system is orthorhombic.


[2]
First-principles (PBE) data for Ac2Bi5Rh3 after structural relaxation, as listed in Alexandria.

Cell and atoms, written as POSCAR:
```
Ac2Bi5Rh3
1.0
7.120 0.000 0.000
3.560 8.745 0.062
3.560 1.410 8.630
Ac Bi Rh
4 10 6
direct
0.150 0.575 0.124 Ac
0.650 0.124 0.575 Ac
0.850 0.425 0.876 Ac
0.350 0.876 0.425 Ac
0.420 0.245 0.915 Bi
0.920 0.915 0.245 Bi
0.580 0.755 0.085 Bi
0.080 0.085 0.755 Bi
0.476 0.774 0.774 Bi
0.524 0.226 0.226 Bi
0.750 0.500 0.500 Bi
0.250 0.500 0.500 Bi
0.024 0.226 0.226 Bi
0.976 0.774 0.774 Bi
0.355 0.536 0.755 Rh
0.855 0.755 0.536 Rh
0.645 0.464 0.245 Rh
0.145 0.245 0.464 Rh
0.250 0.000 0.000 Rh
0.750 0.000 0.000 Rh
```

Summary:
The value obtained for the formation energy from the elements is -44.2 kJ per mole of atoms. For the excess energy over the best structure of this formula in the dataset, the calculation gives 0.056 eV/atom. Its symmetry is No. 72. Its crystal system is orthorhombic.


[3]
First-principles (PBE) data for AcBi2Rh2 after structural relaxation, as listed in Alexandria.

Cell and atoms, written as POSCAR:
```
AcBi2Rh2
1.0
-3.162 3.194 -4.241
-5.090 -3.084 -2.979
-5.832 3.926 3.101
Ac Bi Rh
2 4 4
direct
0.895 0.710 0.247 Ac
0.105 0.290 0.753 Ac
0.559 0.338 0.274 Bi
0.812 0.889 0.775 Bi
0.188 0.111 0.225 Bi
0.441 0.662 0.726 Bi
0.525 0.704 0.051 Rh
0.798 0.257 0.556 Rh
0.475 0.296 0.949 Rh
0.202 0.743 0.444 Rh
```

Summary:
The value obtained for the formation energy from the elements is -44.9 kJ per mole of atoms. For the excess energy over the best structure of this formula in the dataset, the calculation gives 0.067 eV/atom. Its symmetry is No. 2. Its crystal system is triclinic.


[4]
First-principles (PBE) data for AcBiRh2 after structural relaxation, as listed in Alexandria.

Cell and atoms, written as POSCAR:
```
AcBiRh2
1.0
3.691 0.000 0.000
0.000 3.691 0.000
0.000 0.000 6.702
Ac Rh Bi
1 2 1
direct
0.500 0.500 0.500 Ac
0.000 0.000 0.775 Rh
0.000 0.000 0.225 Rh
0.500 0.500 0.000 Bi
```

Summary:
The value obtained for the formation energy from the elements is -25.5 kJ per mole of atoms. Its symmetry is No. 123. Its crystal system is tetragonal.


[5]
First-principles (PBE) data for AcBi3Rh after structural relaxation, as listed in Alexandria.

Cell and atoms, written as POSCAR:
```
AcBi3Rh
1.0
5.405 0.000 0.000
0.000 5.405 0.000
0.000 0.000 5.405
Ac Rh Bi
1 1 3
direct
0.500 0.500 0.500 Ac
0.000 0.000 0.000 Rh
0.000 0.500 0.000 Bi
0.000 0.000 0.500 Bi
0.500 0.000 0.000 Bi
```

Summary:
The value obtained for the formation energy from the elements is -17.5 kJ per mole of atoms. For the excess energy over the best structure of this formula in the dataset, the calculation gives 0.286 eV/atom. Its symmetry is No. 221. Its crystal system is cubic.


[6]
First-principles (PBE) data for AcBi2Rh2 after structural relaxation, as listed in Alexandria.

Cell and atoms, written as POSCAR:
```
AcBi2Rh2
1.0
-3.201 -3.559 -0.283
2.460 -2.473 3.290
-5.831 4.623 7.834
Ac Bi Rh
2 4 4
direct
0.500 0.000 0.261 Ac
0.000 0.500 0.739 Ac
0.000 0.500 0.375 Bi
0.500 0.000 0.625 Bi
0.500 0.500 0.000 Bi
0.000 0.000 0.000 Bi
0.500 0.500 0.500 Rh
0.000 0.000 0.500 Rh
0.000 0.500 0.128 Rh
0.500 0.000 0.872 Rh
```

Summary:
The value obtained for the formation energy from the elements is -51.3 kJ per mole of atoms. For the excess energy over the best structure of this formula in the dataset, the calculation gives 0.000 eV/atom. Its symmetry is No. 129. Its crystal system is tetragonal.


[7]
First-principles (PBE) data for Ac4Bi2Rh after structural relaxation, as listed in Alexandria.

Cell and atoms, written as POSCAR:
```
Ac4Bi2Rh
1.0
5.501 0.000 0.000
0.000 5.501 0.000
-2.751 -2.751 9.082
Ac Rh Bi
4 1 2
direct
0.828 0.828 0.655 Ac
0.172 0.172 0.345 Ac
0.000 0.500 0.000 Ac
0.500 0.000 0.000 Ac
0.000 0.000 0.000 Rh
0.639 0.639 0.277 Bi
0.361 0.361 0.723 Bi
```

Summary:
The value obtained for the formation energy from the elements is -63.3 kJ per mole of atoms. For the excess energy over the best structure of this formula in the dataset, the calculation gives 0.000 eV/atom. Its symmetry is No. 139. Its crystal system is tetragonal.


[8]
First-principles (PBE) data for AcBi5Rh2 after structural relaxation, as listed in Alexandria.

Cell and atoms, written as POSCAR:
```
AcBi5Rh2
1.0
4.624 0.000 0.000
2.312 7.063 0.131
2.312 1.426 6.919
Ac Bi Rh
1 5 2
direct
0.000 0.000 0.000 Ac
0.000 0.500 0.500 Bi
0.659 0.536 0.146 Bi
0.341 0.464 0.854 Bi
0.341 0.854 0.464 Bi
0.659 0.146 0.536 Bi
0.730 0.770 0.770 Rh
0.270 0.230 0.230 Rh
```

Summary:
The value obtained for the formation energy from the elements is -20.6 kJ per mole of atoms. Its symmetry is No. 71. Its crystal system is orthorhombic.


[9]
First-principles (PBE) data for Ac2BiRh3 after structural relaxation, as listed in Alexandria.

Cell and atoms, written as POSCAR:
```
Ac2BiRh3
1.0
6.369 -0.044 0.000
-0.292 6.362 0.000
-3.039 -3.159 7.755
Ac Bi Rh
4 2 6
direct
0.250 0.750 0.500 Ac
0.760 0.760 0.000 Ac
0.750 0.250 0.500 Ac
0.240 0.240 0.000 Ac
0.666 0.666 0.332 Bi
0.334 0.334 0.668 Bi
0.327 0.840 0.167 Rh
0.160 0.673 0.833 Rh
0.673 0.160 0.833 Rh
0.840 0.327 0.167 Rh
0.160 0.160 0.321 Rh
0.840 0.840 0.679 Rh
```

Summary:
The value obtained for the formation energy from the elements is -44.9 kJ per mole of atoms. For the excess energy over the best structure of this formula in the dataset, the calculation gives 0.083 eV/atom. Its symmetry is No. 69. Its crystal system is orthorhombic.


[10]
First-principles (PBE) data for Ac6BiRh4 after structural relaxation, as listed in Alexandria.

Cell and atoms, written as POSCAR:
```
Ac6BiRh4
1.0
-0.110 -4.035 -1.834
6.678 0.710 3.396
-8.598 -8.231 18.627
Ac Bi Rh
12 2 8
direct
0.500 0.000 0.000 Ac
0.500 0.000 0.500 Ac
0.036 0.072 0.347 Ac
0.964 0.928 0.653 Ac
0.964 0.928 0.847 Ac
0.036 0.072 0.153 Ac
0.767 0.534 0.417 Ac
0.233 0.466 0.583 Ac
0.233 0.466 0.917 Ac
0.767 0.534 0.083 Ac
0.337 0.674 0.250 Ac
0.663 0.326 0.750 Ac
0.658 0.316 0.250 Bi
0.342 0.684 0.750 Bi
0.864 0.728 0.542 Rh
0.398 0.796 0.126 Rh
0.136 0.272 0.458 Rh
0.602 0.204 0.874 Rh
0.864 0.728 0.958 Rh
0.136 0.272 0.042 Rh
0.602 0.204 0.626 Rh
0.398 0.796 0.374 Rh
```

Summary:
The value obtained for the formation energy from the elements is -66.0 kJ per mole of atoms. Its symmetry is No. 63. Its crystal system is orthorhombic.


Number 1: final energy -0.41202 Ry/atom. Number 2: final energy -0.39881 Ry/atom. Number 3: final energy -0.42479 Ry/atom. Number 4: final energy -0.43641 Ry/atom. Number 5: final energy -0.35297 Ry/atom. Number 6: final energy -0.42970 Ry/atom. Number 7: final energy -0.37943 Ry/atom. Number 8: final energy -0.36680 Ry/atom. Number 9: final energy -0.45258 Ry/atom. Number 10: final energy -0.43743 Ry/atom.